# 1
DFT (GGA-PBE) results for a relaxed structure of Pr2YAl.

Energy above the most stable polymorph in this dataset, meV/atom: 10
Density, Mg/m³: 5.6
Density of states at the Fermi level, states/eV/cell: 6.0
Total magnetization, μB/cell: 0.001
Energy relative to the elements, meV/atom: -162.4
SG: P4/mmm (123)

abc: 4.8644 4.8644 4.9559
angles: 90.00 90.00 90.00
Fractional coordinates of all 4 atoms:
Pr: 0.0000 0.5000 0.0000
Pr: 0.5000 0.0000 0.0000
Y: 0.0000 0.0000 0.5000
Al: 0.5000 0.5000 0.5000

***

# 2
DFT (GGA-PBE) results for a relaxed structure of Tc2AgSb.

Density, Mg/m³: 10.4
Density of states at the Fermi level, states/eV/cell: 3.3
Total magnetization, μB/cell: 0.000
SG: Cm (8)
Formation energy without anion corrections, eV per atom: 0.434

abc: 4.9077 4.9077 4.8752
angles: 99.63 99.63 36.06
Fractional coordinates of all 4 atoms:
Tc: 0.0000 0.0000 0.0000
Tc: 0.7300 0.7300 0.2130
Ag: 0.2462 0.2462 0.7398
Sb: 0.4806 0.4806 0.4701

***

Look up the total magnetization of the second one.
0.000 μB/cell